[1]
The following is a GGA-PBE calculation of a relaxed structure of AcSmSnPt, from the Alexandria database.

Cell and atoms, written as POSCAR:
```
AcSmSnPt
1.0
4.899 0.000 0.000
0.000 4.899 0.000
0.000 0.000 10.581
Ac Sm Sn Pt
2 2 2 2
direct
0.000 0.500 0.800
0.500 0.000 0.200
0.000 0.000 0.500
0.500 0.500 0.500
0.500 0.000 0.895
0.000 0.500 0.105
0.000 0.500 0.352
0.500 0.000 0.648
```

Calculated formation energy (meV/atom): -712
Energy relative to the lowest polymorph listed for this composition (eV/f.u.): 0.09
Total magnetization (μB per cell): 0.00


[2]
The following is a GGA-PBE calculation of a relaxed structure of Ac2SmSn4Pt3, from the Alexandria database.

Cell and atoms, written as POSCAR:
```
Ac2SmSn4Pt3
1.0
4.601 0.000 0.000
0.000 4.601 0.000
0.000 0.000 12.274
Ac Sm Sn Pt
2 1 4 3
direct
0.500 0.000 0.232
0.000 0.500 0.768
0.500 0.500 0.500
0.500 0.500 0.000
0.000 0.000 0.000
0.500 0.000 0.660
0.000 0.500 0.340
0.000 0.000 0.500
0.500 0.000 0.879
0.000 0.500 0.121
```

Calculated formation energy (meV/atom): -845
Total magnetization (μB per cell): 0.00


[3]
The following is a GGA-PBE calculation of a relaxed structure of Ac3SmTh2Pt6, from the Alexandria database.

Cell and atoms, written as POSCAR:
```
Ac3SmTh2Pt6
1.0
7.415 0.004 0.002
-3.703 6.424 0.002
-1.236 -2.141 7.011
Ac Sm Th Pt
3 1 2 6
direct
0.167 0.833 0.500
0.833 0.167 0.500
0.500 0.500 0.500
0.000 0.000 0.000
0.334 0.666 0.000
0.666 0.334 0.000
0.923 0.586 0.770
0.740 0.740 0.231
0.077 0.414 0.230
0.586 0.923 0.770
0.260 0.260 0.769
0.414 0.077 0.230
```

Calculated formation energy (meV/atom): -1187
Total magnetization (μB per cell): 0.00